[1]
Compound: InGe2Bi2
Source: Alexandria
Functional: PBE-GGA
Structure: optimized geometry

Properties
E, eV per cell: -37.4
Fermi-level density of states, states/eV per cell: 5.46
Energy of formation, eV per formula unit: 1.02
Mass density, Mg/m³: 8.3

abc: 8.337 8.337 3.888
angles: 90.00 90.00 90.00
Fractional coordinates of all 10 atoms:
In1 0.000 0.000 0.000
In2 0.500 0.500 0.000
Ge1 0.128 0.372 0.000
Ge2 0.372 0.872 0.000
Ge3 0.628 0.128 0.000
Ge4 0.872 0.628 0.000
Bi1 0.157 0.657 0.500
Bi2 0.343 0.157 0.500
Bi3 0.657 0.843 0.500
Bi4 0.843 0.343 0.500



[2]
Compound: InGeBi
Source: Alexandria
Functional: PBE-GGA
Structure: optimized geometry

Properties
E, eV per cell: -21.7
Fermi-level density of states, states/eV per cell: 2.44
Energy of formation, eV per formula unit: 0.37
Mass density, Mg/m³: 7.9

abc: 3.902 6.591 6.810
angles: 95.82 105.83 90.68
Fractional coordinates of all 6 atoms:
In1 0.045 0.280 0.090
In2 0.955 0.720 0.910
Ge1 0.311 0.492 0.627
Ge2 0.689 0.508 0.373
Bi1 0.349 0.072 0.701
Bi2 0.651 0.928 0.299



[3]
Compound: InGeBi
Source: Alexandria
Functional: PBE-GGA
Structure: optimized geometry

Properties
E, eV per cell: -21.7
Fermi-level density of states, states/eV per cell: 2.20
Energy of formation, eV per formula unit: 0.39
Mass density, Mg/m³: 7.8

abc: 4.269 6.623 6.813
angles: 70.76 72.16 71.69
Fractional coordinates of all 6 atoms:
In1 0.000 0.000 0.000
In2 0.120 0.468 0.258
Ge1 0.352 0.976 0.316
Ge2 0.427 0.563 0.543
Bi1 0.673 0.061 0.595
Bi2 0.785 0.541 0.853



[4]
Compound: InGeBi3
Source: Alexandria
Functional: PBE-GGA
Structure: optimized geometry

Properties
E, eV per cell: -16.6
Fermi-level density of states, states/eV per cell: 3.49
Energy of formation, eV per formula unit: 2.40
Mass density, Mg/m³: 7.7

abc: 5.594 5.594 5.594
angles: 90.00 90.00 90.00
Fractional coordinates of all 5 atoms:
In1 0.000 0.000 0.000
Ge1 0.500 0.500 0.500
Bi1 0.000 0.500 0.500
Bi2 0.500 0.000 0.500
Bi3 0.500 0.500 0.000